1.
# Dy3TlSb2 PBE optimized geometry
# Crystal system: orthorhombic
# DOS(E_F) (states/eV/atom): 0.6031
# Formation energy from raw total energies (eV/atom): -0.76
# Raw total energy (eV per formula unit): -29.0
# M_tot (μB per formula unit): 0.0
data_Dy3TlSb2
_symmetry_space_group_name_H-M 'I m m m'
_symmetry_Int_Tables_number 71
_symmetry_space_group_name_Hall '-I 2 2'
_cell_length_a 4.282
_cell_length_b 6.193
_cell_length_c 13.566
_cell_angle_alpha 90.00
_cell_angle_beta 90.00
_cell_angle_gamma 90.00
loop_
_atom_site_label
_atom_site_fract_x
_atom_site_fract_y
_atom_site_fract_z
Dy1 0.000 0.000 0.000
Dy2 0.000 0.000 0.324
Tl1 0.000 0.500 0.000
Sb1 0.000 0.500 0.336

2.
# PmTmZnHg PBE optimized geometry
# Energy above the most stable polymorph in this dataset (eV/f.u.): 0.11
# Crystal system: cubic
# DOS(E_F) (states/eV/atom): 1.0594
# Raw total energy (eV per formula unit): -12.3
# M_tot (μB per formula unit): 0.4
data_PmTmZnHg
_symmetry_space_group_name_H-M 'F -4 3 m'
_symmetry_Int_Tables_number 216
_symmetry_space_group_name_Hall 'F -4 2 3'
_cell_length_a 7.361
_cell_length_b 7.361
_cell_length_c 7.361
_cell_angle_alpha 90.00
_cell_angle_beta 90.00
_cell_angle_gamma 90.00
loop_
_atom_site_label
_atom_site_fract_x
_atom_site_fract_y
_atom_site_fract_z
Pm1 0.000 0.000 0.000
Tm1 0.000 0.000 0.500
Zn1 0.250 0.250 0.250
Hg1 0.250 0.250 0.750

3.
# Sm2Te4Au PBE optimized geometry
# Energy above the most stable polymorph in this dataset (eV/f.u.): 0.06
# Crystal system: monoclinic
# DOS(E_F) (states/eV/atom): 0.0993
# Formation energy from raw total energies (eV/atom): -0.96
# Raw total energy (eV per formula unit): -32.0
# M_tot (μB per formula unit): 0.0
data_Sm2Te4Au
_symmetry_space_group_name_H-M 'P 1 21/m 1'
_symmetry_Int_Tables_number 11
_symmetry_space_group_name_Hall '-P 2yb'
_cell_length_a 7.459
_cell_length_b 6.270
_cell_length_c 9.556
_cell_angle_alpha 90.00
_cell_angle_beta 102.62
_cell_angle_gamma 90.00
loop_
_atom_site_label
_atom_site_fract_x
_atom_site_fract_y
_atom_site_fract_z
Sm1 0.194 0.250 0.378
Sm2 0.235 0.250 0.941
Te1 0.034 0.750 0.376
Te2 0.092 0.750 0.905
Te3 0.460 0.509 0.214
Au1 0.348 0.750 0.569

4.
# Hf2TiPt2 PBE optimized geometry
# Energy above the most stable polymorph in this dataset (eV/f.u.): 2.59
# Crystal system: tetragonal
# DOS(E_F) (states/eV/atom): 0.8167
# Raw total energy (eV per formula unit): -41.4
# M_tot (μB per formula unit): 1.2
data_Hf2TiPt2
_symmetry_space_group_name_H-M 'I 4/m m m'
_symmetry_Int_Tables_number 139
_symmetry_space_group_name_Hall '-I 4 2'
_cell_length_a 3.843
_cell_length_b 3.843
_cell_length_c 13.838
_cell_angle_alpha 90.00
_cell_angle_beta 90.00
_cell_angle_gamma 90.00
loop_
_atom_site_label
_atom_site_fract_x
_atom_site_fract_y
_atom_site_fract_z
Hf1 0.000 0.000 0.110
Ti1 0.000 0.000 0.500
Pt1 0.000 0.500 0.250

5.
# Nd4Dy5Y2 PBE optimized geometry
# Energy above the most stable polymorph in this dataset (eV/f.u.): 0.71
# Crystal system: monoclinic
# DOS(E_F) (states/eV/atom): 1.5610
# Raw total energy (eV per formula unit): -53.2
# M_tot (μB per formula unit): 0.0
data_Nd4Dy5Y2
_symmetry_space_group_name_H-M 'C 1 2/m 1'
_symmetry_Int_Tables_number 12
_symmetry_space_group_name_Hall '-C 2y'
_cell_length_a 16.691
_cell_length_b 6.718
_cell_length_c 6.717
_cell_angle_alpha 90.00
_cell_angle_beta 99.48
_cell_angle_gamma 90.00
loop_
_atom_site_label
_atom_site_fract_x
_atom_site_fract_y
_atom_site_fract_z
Nd1 0.089 0.000 0.404
Nd2 0.246 0.500 0.816
Dy1 0.000 0.500 0.500
Dy2 0.088 0.242 0.905
Y1 0.200 0.500 0.304

6.
# Ba3Bi4 PBE optimized geometry
# Crystal system: orthorhombic
# DOS(E_F) (states/eV/atom): 0.3272
# Raw total energy (eV per formula unit): -26.8
# M_tot (μB per formula unit): 0.0
data_Ba3Bi4
_symmetry_space_group_name_H-M 'C m c m'
_symmetry_Int_Tables_number 63
_symmetry_space_group_name_Hall '-C 2c 2'
_cell_length_a 5.031
_cell_length_b 12.927
_cell_length_c 17.539
_cell_angle_alpha 90.00
_cell_angle_beta 90.00
_cell_angle_gamma 90.00
loop_
_atom_site_label
_atom_site_fract_x
_atom_site_fract_y
_atom_site_fract_z
Ba1 0.000 0.045 0.250
Ba2 0.000 0.321 0.097
Bi1 0.000 0.000 0.000
Bi2 0.000 0.234 0.750
Bi3 0.000 0.391 0.605

7.
# Bi2Sb2Au PBE optimized geometry
# Energy above the most stable polymorph in this dataset (eV/f.u.): 1.09
# Crystal system: tetragonal
# DOS(E_F) (states/eV/atom): 0.7640
# Formation energy from raw total energies (eV/atom): 0.23
# Raw total energy (eV per formula unit): -18.1
# M_tot (μB per formula unit): 0.0
data_Bi2Sb2Au
_symmetry_space_group_name_H-M 'P 4/m b m'
_symmetry_Int_Tables_number 127
_symmetry_space_group_name_Hall '-P 4 2ab'
_cell_length_a 8.184
_cell_length_b 8.184
_cell_length_c 4.388
_cell_angle_alpha 90.00
_cell_angle_beta 90.00
_cell_angle_gamma 90.00
loop_
_atom_site_label
_atom_site_fract_x
_atom_site_fract_y
_atom_site_fract_z
Bi1 0.145 0.355 0.000
Sb1 0.172 0.672 0.500
Au1 0.000 0.000 0.500

8.
# KRb3In PBE optimized geometry
# Energy above the most stable polymorph in this dataset (eV/f.u.): 2.26
# Crystal system: cubic
# DOS(E_F) (states/eV/atom): 1.1361
# Raw total energy (eV per formula unit): -4.5
# M_tot (μB per formula unit): 0.0
data_KRb3In
_symmetry_space_group_name_H-M 'P m -3 m'
_symmetry_Int_Tables_number 221
_symmetry_space_group_name_Hall '-P 4 2 3'
_cell_length_a 7.586
_cell_length_b 7.586
_cell_length_c 7.586
_cell_angle_alpha 90.00
_cell_angle_beta 90.00
_cell_angle_gamma 90.00
loop_
_atom_site_label
_atom_site_fract_x
_atom_site_fract_y
_atom_site_fract_z
K1 0.000 0.000 0.000
Rb1 0.000 0.000 0.500
In1 0.500 0.500 0.500